1.
Ca2MgNi | Alexandria via LeMat-Bulk | PBE-GGA | optimized geometry; crystal system = trigonal; space group = No. 166; magnetic moment = 0.0 μB/cell; energy of formation = 0.10 eV/atom
1.0
1.892 1.092 9.241
-1.892 1.092 9.241
0.000 -2.184 9.241
Ca Mg Ni
2 1 1
direct
0.228 0.228 0.228 Ca
0.772 0.772 0.772 Ca
0.000 0.000 0.000 Mg
0.500 0.500 0.500 Ni

***

2.
InAuO3 | Alexandria via LeMat-Bulk | PBE-GGA | optimized geometry; crystal system = cubic; space group = No. 221; energy relative to the elements, uncorrected = 0.060 eV/atom; magnetic moment = 2.0 μB/cell
1.0
4.149 0.000 0.000
0.000 4.149 0.000
0.000 0.000 4.149
In Au O
1 1 3
direct
0.000 0.000 0.000 In
0.500 0.500 0.500 Au
0.000 0.000 0.500 O
0.000 0.500 0.000 O
0.500 0.000 0.000 O

***

3.
Li2HoGaBr6 | Alexandria via LeMat-Bulk | PBE-GGA | optimized geometry; crystal system = trigonal; space group = No. 146; energy relative to the elements, uncorrected = -1.446 eV/atom; magnetic moment = 0.0 μB/cell
1.0
3.582 2.068 6.591
-3.582 2.068 6.591
0.000 -4.137 6.591
Li Ho Ga Br
2 1 1 6
direct
0.000 0.000 0.000 Li
0.493 0.493 0.493 Li
0.684 0.684 0.684 Ho
0.196 0.196 0.196 Ga
0.092 0.414 0.756 Br
0.270 0.866 0.642 Br
0.414 0.756 0.092 Br
0.642 0.270 0.866 Br
0.756 0.092 0.414 Br
0.866 0.642 0.270 Br

***

4.
CaAcLuTl | Alexandria via LeMat-Bulk | PBE-GGA | optimized geometry; crystal system = cubic; space group = No. 216; magnetic moment = 0.6 μB/cell; energy of formation = 0.09 eV/atom
1.0
0.000 4.057 4.057
4.057 0.000 4.057
4.057 4.057 0.000
Ca Ac Lu Tl
1 1 1 1
direct
0.000 0.000 0.000 Ca
0.750 0.750 0.750 Ac
0.500 0.500 0.500 Lu
0.250 0.250 0.250 Tl